The following is a DFT calculation (PBEsol) of crystalline LiNbWO6 at its relaxed geometry.

abc: 7.307 7.333 10.355
angles: 90.00 90.00 90.00
Space group Imma (No. 74)
Inequivalent atoms, fractional coordinates:
Li: 0.000 0.000 0.000 (multiplicity 4)
Nb: 0.250 0.250 0.250 (multiplicity 4)
W: 0.000 0.000 0.500 (multiplicity 4)
O: 0.000 0.250 0.173 (multiplicity 4)
O: 0.000 0.250 0.554 (multiplicity 4)
O: 0.186 0.060 0.379 (multiplicity 16)

Energy, eV for the cell shown: -312.15
ΔE_f (raw), eV/atom: -2.216

***

The following is a DFT calculation (PBEsol) of crystalline LiNbWO6 at its relaxed geometry.

abc: 5.1955 5.1955 13.6016
angles: 90.00 90.00 120.00
Space group R3 (No. 146, hexagonal axes)
Inequivalent atoms, fractional coordinates:
Li: 0.0000 0.0000 0.0000 (multiplicity 3)
Nb: 0.0000 0.0000 0.2841 (multiplicity 3)
W: 0.0000 0.0000 0.7838 (multiplicity 3)
O: 0.0159 0.4192 0.5486 (multiplicity 9)
O: 0.0489 0.7079 0.3830 (multiplicity 9)

Energy, eV for the cell shown: -236.77
ΔE_f (raw), eV/atom: -2.315

***

The following is a DFT calculation (PBEsol) of crystalline Li3Nb4ZnO12 at its relaxed geometry.

abc: 5.187 5.542 7.593
angles: 84.84 89.88 89.96
Space group P1 (No. 1)
Inequivalent atoms, fractional coordinates:
Li: 0.000 0.000 0.000 (multiplicity 1)
Li: 0.000 0.005 0.504 (multiplicity 1)
Li: 0.501 0.519 0.507 (multiplicity 1)
Nb: 0.002 0.434 0.224 (multiplicity 1)
Nb: 0.497 0.952 0.715 (multiplicity 1)
Nb: 0.503 0.935 0.220 (multiplicity 1)
Nb: 0.998 0.446 0.715 (multiplicity 1)
Zn: 0.501 0.508 0.998 (multiplicity 1)
O: 0.129 0.419 0.465 (multiplicity 1)
O: 0.179 0.111 0.770 (multiplicity 1)
O: 0.200 0.732 0.144 (multiplicity 1)
O: 0.315 0.242 0.139 (multiplicity 1)
O: 0.323 0.607 0.773 (multiplicity 1)
O: 0.374 0.918 0.464 (multiplicity 1)
O: 0.625 0.914 0.963 (multiplicity 1)
O: 0.686 0.612 0.272 (multiplicity 1)
O: 0.693 0.240 0.646 (multiplicity 1)
O: 0.805 0.737 0.644 (multiplicity 1)
O: 0.823 0.111 0.269 (multiplicity 1)
O: 0.868 0.422 0.964 (multiplicity 1)

Energy, eV for the cell shown: -160.87
ΔE_f (raw), eV/atom: -2.356

***

The following is a DFT calculation (PBEsol) of crystalline LiNbP2S at its relaxed geometry.

abc: 4.807 4.807 4.791
angles: 90.00 90.00 90.00
Space group P4/mmm (No. 123)
Inequivalent atoms, fractional coordinates:
Li: 0.000 0.000 0.000 (multiplicity 1)
Nb: 0.500 0.500 0.500 (multiplicity 1)
P: 0.000 0.500 0.500 (multiplicity 2)
S: 0.500 0.500 0.000 (multiplicity 1)

Energy, eV for the cell shown: -29.21
ΔE_f (raw), eV/atom: -0.090

***

The following is a DFT calculation (PBEsol) of crystalline LiNbPb3 at its relaxed geometry.

abc: 5.477 5.477 5.477
angles: 90.00 90.00 90.00
Space group Pm-3m (No. 221)
Inequivalent atoms, fractional coordinates:
Li: 0.000 0.000 0.000 (multiplicity 1)
Nb: 0.500 0.500 0.500 (multiplicity 1)
Pb: 0.000 0.500 0.500 (multiplicity 3)

Energy, eV for the cell shown: -22.93
E_form, kJ per mole of atoms: 35.9

***

The following is a DFT calculation (PBEsol) of crystalline LiNbRhPb2 at its relaxed geometry.

abc: 5.482 5.482 4.661
angles: 90.00 90.00 90.00
Space group P4/mmm (No. 123)
Inequivalent atoms, fractional coordinates:
Li: 0.000 0.000 0.000 (multiplicity 1)
Nb: 0.500 0.500 0.500 (multiplicity 1)
Rh: 0.500 0.500 0.000 (multiplicity 1)
Pb: 0.000 0.500 0.500 (multiplicity 2)

Energy, eV for the cell shown: -25.82
E_form, kJ per mole of atoms: 59.9

***

The following is a DFT calculation (PBEsol) of crystalline Sr2LiNbPb at its relaxed geometry.

abc: 6.039 6.039 5.018
angles: 90.00 90.00 90.00
Space group P4/mmm (No. 123)
Inequivalent atoms, fractional coordinates:
Sr: 0.000 0.500 0.000 (multiplicity 2)
Li: 0.000 0.000 0.500 (multiplicity 1)
Nb: 0.000 0.000 0.000 (multiplicity 1)
Pb: 0.500 0.500 0.500 (multiplicity 1)

Energy, eV for the cell shown: -15.80
E_form, kJ per mole of atoms: 90.1

***

The following is a DFT calculation (PBEsol) of crystalline SrLi2NbPd at its relaxed geometry.

abc: 4.630 4.630 5.013
angles: 90.00 90.00 90.00
Space group P4/mmm (No. 123)
Inequivalent atoms, fractional coordinates:
Sr: 0.000 0.000 0.000 (multiplicity 1)
Li: 0.000 0.500 0.000 (multiplicity 2)
Nb: 0.500 0.500 0.500 (multiplicity 1)
Pd: 0.000 0.000 0.500 (multiplicity 1)

Energy, eV for the cell shown: -15.94
E_form, kJ per mole of atoms: 127.7

***

Please write out number 5 again, unchanged.
The following is a DFT calculation (PBEsol) of crystalline LiNbPb3 at its relaxed geometry.

abc: 5.477 5.477 5.477
angles: 90.00 90.00 90.00
Space group Pm-3m (No. 221)
Inequivalent atoms, fractional coordinates:
Li: 0.000 0.000 0.000 (multiplicity 1)
Nb: 0.500 0.500 0.500 (multiplicity 1)
Pb: 0.000 0.500 0.500 (multiplicity 3)

Energy, eV for the cell shown: -22.93
E_form, kJ per mole of atoms: 35.9

***

What did the second record say?
The following is a DFT calculation (PBEsol) of crystalline LiNbWO6 at its relaxed geometry.

abc: 5.1955 5.1955 13.6016
angles: 90.00 90.00 120.00
Space group R3 (No. 146, hexagonal axes)
Inequivalent atoms, fractional coordinates:
Li: 0.0000 0.0000 0.0000 (multiplicity 3)
Nb: 0.0000 0.0000 0.2841 (multiplicity 3)
W: 0.0000 0.0000 0.7838 (multiplicity 3)
O: 0.0159 0.4192 0.5486 (multiplicity 9)
O: 0.0489 0.7079 0.3830 (multiplicity 9)

Energy, eV for the cell shown: -236.77
ΔE_f (raw), eV/atom: -2.315

***

Which formula does entry 2 have? LiNbWO6

***

Among the records above, which one has the highest energy? Sr2LiNbPb